No. 1
The following is a GGA-PBE calculation of a geometry-optimized RuPt2Au structure, from Alexandria.

```
RuPt2Au
1.0
-3.582 3.582 2.728
3.582 -3.582 2.728
3.582 3.582 -2.728
Ru Pt Au
2 4 2
Direct
0.000 0.000 0.000 Ru
0.750 0.250 0.500 Ru
0.106 0.625 0.981 Pt
0.375 0.356 0.481 Pt
0.644 0.125 0.019 Pt
0.875 0.894 0.519 Pt
0.250 0.750 0.500 Au
0.500 0.500 0.000 Au
```

Calculated values
M_tot   0.9 μB per formula unit
Symmetry   I-42d, No. 122

No. 2
The following is a GGA-PBE calculation of a geometry-optimized Ru2PtAu structure, from Alexandria.

```
Ru2PtAu
1.0
2.781 -3.966 0.000
2.781 3.966 0.000
0.000 0.000 2.769
Ru Pt Au
2 1 1
Direct
0.000 0.500 0.000 Ru
0.500 0.000 0.000 Ru
0.000 0.000 0.500 Pt
0.500 0.500 0.500 Au
```

Calculated values
M_tot   0.0 μB per formula unit
Symmetry   Cmmm, No. 65

No. 3
The following is a GGA-PBE calculation of a geometry-optimized RuPt2Au structure, from Alexandria.

```
RuPt2Au
1.0
0.000 3.181 3.181
3.181 0.000 3.181
3.181 3.181 0.000
Ru Pt Au
1 2 1
Direct
0.000 0.000 0.000 Ru
0.500 0.500 0.500 Pt
0.750 0.750 0.750 Pt
0.250 0.250 0.250 Au
```

Calculated values
M_tot   1.4 μB per formula unit
Symmetry   F-43m, No. 216

No. 4
The following is a GGA-PBE calculation of a geometry-optimized RuPtAu2 structure, from Alexandria.

```
RuPtAu2
1.0
2.831 0.000 0.000
0.000 2.831 0.000
0.000 0.000 8.251
Ru Pt Au
1 1 2
Direct
0.000 0.000 0.000 Ru
0.000 0.000 0.500 Pt
0.500 0.500 0.246 Au
0.500 0.500 0.754 Au
```

Calculated values
M_tot   2.1 μB per formula unit
Symmetry   P4/mmm, No. 123

No. 5
The following is a GGA-PBE calculation of a geometry-optimized RuPtAu2 structure, from Alexandria.

```
RuPtAu2
1.0
0.000 3.229 3.229
3.229 0.000 3.229
3.229 3.229 0.000
Ru Pt Au
1 1 2
Direct
0.000 0.000 0.000 Ru
0.750 0.750 0.750 Pt
0.250 0.250 0.250 Au
0.500 0.500 0.500 Au
```

Calculated values
M_tot   2.3 μB per formula unit
Symmetry   F-43m, No. 216

No. 6
The following is a GGA-PBE calculation of a geometry-optimized Ru2PtAu structure, from Alexandria.

```
Ru2PtAu
1.0
0.000 3.145 3.145
3.145 0.000 3.145
3.145 3.145 0.000
Ru Pt Au
2 1 1
Direct
0.250 0.250 0.250 Ru
0.750 0.750 0.750 Ru
0.000 0.000 0.000 Pt
0.500 0.500 0.500 Au
```

Calculated values
M_tot   0.0 μB per formula unit
Symmetry   Fm-3m, No. 225

No. 7
The following is a GGA-PBE calculation of a geometry-optimized Ru2PtAu structure, from Alexandria.

```
Ru2PtAu
1.0
2.793 0.000 0.000
0.000 3.833 0.000
0.000 0.000 5.739
Ru Pt Au
2 1 1
Direct
0.000 0.000 0.000 Ru
0.500 0.500 0.208 Ru
0.500 0.500 0.745 Pt
0.000 0.000 0.479 Au
```

Calculated values
M_tot   0.0 μB per formula unit
Symmetry   Pmm2, No. 25

No. 8
The following is a GGA-PBE calculation of a geometry-optimized Ru2PtAu structure, from Alexandria.

```
Ru2PtAu
1.0
-1.957 1.957 3.977
1.957 -1.957 3.977
1.957 1.957 -3.977
Ru Pt Au
2 1 1
Direct
0.000 0.000 0.000 Ru
0.750 0.250 0.500 Ru
0.250 0.750 0.500 Pt
0.500 0.500 0.000 Au
```

Calculated values
M_tot   0.0 μB per formula unit
Symmetry   I-4m2, No. 119

No. 9
The following is a GGA-PBE calculation of a geometry-optimized RuPtAu3 structure, from Alexandria.

```
RuPtAu3
1.0
5.030 0.000 0.000
0.000 5.030 0.000
0.000 0.000 5.030
Ru Pt Au
1 1 3
Direct
0.000 0.000 0.000 Ru
0.500 0.500 0.500 Pt
0.000 0.500 0.500 Au
0.500 0.000 0.500 Au
0.500 0.500 0.000 Au
```

Calculated values
M_tot   3.0 μB per formula unit
Symmetry   Pm-3m, No. 221

No. 10
The following is a GGA-PBE calculation of a geometry-optimized Ru2PtAu structure, from Alexandria.

```
Ru2PtAu
1.0
-3.575 3.575 2.661
3.575 -3.575 2.661
3.575 3.575 -2.661
Ru Pt Au
4 2 2
Direct
0.107 0.625 0.982 Ru
0.375 0.357 0.482 Ru
0.643 0.125 0.018 Ru
0.875 0.893 0.518 Ru
0.000 0.000 0.000 Pt
0.750 0.250 0.500 Pt
0.250 0.750 0.500 Au
0.500 0.500 0.000 Au
```

Calculated values
M_tot   0.7 μB per formula unit
Symmetry   I-42d, No. 122

No. 11
The following is a GGA-PBE calculation of a geometry-optimized RuPtAu2 structure, from Alexandria.

```
RuPtAu2
1.0
2.825 0.000 0.000
0.000 3.818 0.000
0.000 0.000 6.169
Ru Pt Au
1 1 2
Direct
0.000 0.000 0.000 Ru
0.500 0.500 0.802 Pt
0.000 0.000 0.530 Au
0.500 0.500 0.265 Au
```

Calculated values
M_tot   0.7 μB per formula unit
Symmetry   Pmm2, No. 25

No. 12
The following is a GGA-PBE calculation of a geometry-optimized RuPt2Au structure, from Alexandria.

```
RuPt2Au
1.0
2.809 0.000 0.000
0.000 2.809 0.000
0.000 0.000 8.013
Ru Pt Au
1 2 1
Direct
0.000 0.000 0.000 Ru
0.000 0.000 0.526 Pt
0.500 0.500 0.777 Pt
0.500 0.500 0.258 Au
```

Calculated values
M_tot   0.0 μB per formula unit
Symmetry   P4mm, No. 99

Here are the calculated ΔE to the lowest computed polymorph numbers, same order: 505.5; 229.9; 277.6; 149.1; 226.7; 402.4; 83.5; 143.8; 0.0; 703.9; 73.4; 80.2 (meV/atom).
Here are the calculated density of states at the Fermi level numbers, same order: 1.366; 1.587; 0.823; 0.602; 0.789; 1.385; 1.105; 0.949; 1.781; 1.676; 0.948; 0.856 (states/eV/atom).
Here are the calculated calculated formation energy numbers, same order: 0.546; 0.323; 0.318; 0.290; 0.368; 0.495; 0.176; 0.236; 1.445; 0.797; 0.214; 0.121 (eV per atom).